[1]
The following is a DFT calculation (PBE-GGA) of an optimized crystal structure of LiY2Ru. Values from VASP.

Energy above the most stable polymorph in this dataset ... 1.70 eV/f.u.
Total moment ... 0.00 μB/cell
Calculated formation energy ... 160 meV/atom
Space group ... I-42d
Volume ... 23.79 A^3/atom

Geometry as Quantum ESPRESSO input:
```
&SYSTEM
  ibrav = 0, nat = 8, ntyp = 3
/
ATOMIC_SPECIES
Li 6.94 Li.upf
Y 88.91 Y.upf
Ru 101.07 Ru.upf
ATOMIC_POSITIONS crystal
Li 0.0000 0.0000 0.0000
Li 0.7500 0.2500 0.5000
Y 0.1545 0.6250 0.0295
Y 0.3750 0.4045 0.5295
Y 0.5955 0.1250 0.9705
Y 0.8750 0.8455 0.4705
Ru 0.2500 0.7500 0.5000
Ru 0.5000 0.5000 0.0000
CELL_PARAMETERS angstrom
-3.8273 3.8273 3.2477
3.8273 -3.8273 3.2477
3.8273 3.8273 -3.2477
```

[2]
The following is a DFT calculation (PBE-GGA) of an optimized crystal structure of CaDyZnIr. Values from VASP.

Total moment ... 0.00 μB/cell
Calculated formation energy ... -424 meV/atom
Space group ... F-43m
Volume ... 21.24 A^3/atom

Geometry as Quantum ESPRESSO input:
```
&SYSTEM
  ibrav = 0, nat = 4, ntyp = 4
/
ATOMIC_SPECIES
Ca 40.08 Ca.upf
Dy 162.50 Dy.upf
Zn 65.41 Zn.upf
Ir 192.22 Ir.upf
ATOMIC_POSITIONS crystal
Ca 0.0000 0.0000 0.0000
Dy 0.5000 0.5000 0.5000
Zn 0.2500 0.2500 0.2500
Ir 0.7500 0.7500 0.7500
CELL_PARAMETERS angstrom
0.0000 3.4890 3.4890
3.4890 0.0000 3.4890
3.4890 3.4890 0.0000
```

| no. | DOS at the Fermi energy (states/eV/cell) |
| --- | --- |
| 1 | 5.9 |
| 2 | 3.7 |